A relaxed CaCrIr2 crystal, computed with GGA-PBEsol.

Values from the calculation:
DOS(E_F), states/eV/cell: 6.33
Polymorph energy (0 for the lowest one), eV/atom: 0.4219
Size of the total moment, μB per formula unit: 2.7

Cell: 3.9381 3.9381 8.1976 Å, 90.00 90.00 90.00°
Last column: nearest neighbours and their distance in Å.
Space group I-4m2 (No. 119)
One atom of each set of equivalent atoms:
Ca  0.0000  0.0000  0.0000 (multiplicity 2)  8 Ir 2.78-2.84, 4 Cr 2.84
Cr  0.0000  0.5000  0.2500 (multiplicity 2)  8 Ir 2.78-2.84, 4 Ca 2.84
Ir  0.0000  0.0000  0.5000 (multiplicity 2)  4 Ca 2.78, 4 Cr 2.84, 4 Ir 2.84
Ir  0.0000  0.5000  0.7500 (multiplicity 2)  4 Cr 2.78, 4 Ca 2.84, 4 Ir 2.84



A relaxed Tl2P2I crystal, computed with GGA-PBEsol.

Values from the calculation:
DOS(E_F), states/eV/cell: 2.15
E_form (uncorrected), eV/atom: 0.010
Size of the total moment, μB per formula unit: 0.0

Cell: 3.4929 3.4929 20.8050 Å, 90.00 90.00 90.00°
Last column: nearest neighbours and their distance in Å.
Space group I4/mmm (No. 139)
One atom of each set of equivalent atoms:
Tl  0.0000  0.0000  0.1207 (multiplicity 4)  4 P 3.21, 4 Tl 3.49, 4 I 3.52
P  0.0000  0.5000  0.2500 (multiplicity 4)  4 P 2.47
I  0.0000  0.0000  0.5000 (multiplicity 2)  4 I 3.49, 8 Tl 3.52



A relaxed KGaIO2 crystal, computed with GGA-PBEsol.

Values from the calculation:
DOS(E_F), states/eV/cell: 3.21
E_form (uncorrected), eV/atom: -0.646
Size of the total moment, μB per formula unit: 1.0

Cell: 4.1482 4.1482 5.6136 Å, 90.00 90.00 90.00°
Last column: nearest neighbours and their distance in Å.
Space group P4/mmm (No. 123)
One atom of each set of equivalent atoms:
K  0.0000  0.0000  0.0000 (multiplicity 1)  4 I 2.93
Ga  0.5000  0.5000  0.5000 (multiplicity 1)  4 O 2.07
I  0.5000  0.5000  0.0000 (multiplicity 1)  2 Ga 2.81, 4 K 2.93
O  0.0000  0.5000  0.5000 (multiplicity 2)  2 Ga 2.07



A relaxed YHoCd2 crystal, computed with GGA-PBEsol.

Values from the calculation:
DOS(E_F), states/eV/cell: 17.40
Calculated total energy, eV per atom: -3.902
Size of the total moment, μB per formula unit: 0.0

Cell: 7.3428 7.3428 7.3428 Å, 90.00 90.00 90.00°
Last column: nearest neighbours and their distance in Å.
Space group Fm-3m (No. 225)
One atom of each set of equivalent atoms:
Y  0.0000  0.0000  0.0000 (multiplicity 4)  8 Cd 3.18
Ho  0.0000  0.0000  0.5000 (multiplicity 4)  8 Cd 3.18
Cd  0.2500  0.2500  0.2500 (multiplicity 8)  4 Ho 3.18, 4 Y 3.18



A relaxed LiMnAlO4 crystal, computed with GGA-PBEsol.

Values from the calculation:
Polymorph energy (0 for the lowest one), eV/atom: 0.0339
E_form (uncorrected), eV/atom: -2.259
Size of the total moment, μB per formula unit: 3.0

Cell: 5.6660 5.6660 7.9143 Å, 90.00 90.00 90.00°
Last column: nearest neighbours and their distance in Å.
Space group P4_322 (No. 95)
One atom of each set of equivalent atoms:
Li  0.0000  0.2335  0.0000 (multiplicity 4)  6 O 1.97-2.09
Mn  0.2356  0.5000  0.2500 (multiplicity 4)  6 O 1.82-1.96
Al  0.2548  0.2548  0.6250 (multiplicity 4)  4 O 1.77-1.81
O  0.0126  0.2681  0.2603 (multiplicity 8)  1 Al 1.77, 1 Mn 1.82, 1 Li 1.97
O  0.2649  0.4886  0.0112 (multiplicity 8)  1 Al 1.81, 2 Mn 1.90-1.96



A relaxed In2MoP crystal, computed with GGA-PBEsol.

Values from the calculation:
DOS(E_F), states/eV/cell: 6.18
Calculated total energy, eV per atom: -5.423
Size of the total moment, μB per formula unit: 1.1

Cell: 4.0862 4.0862 8.6512 Å, 90.00 90.00 90.00°
Last column: nearest neighbours and their distance in Å.
Space group I-4m2 (No. 119)
One atom of each set of equivalent atoms:
In  0.0000  0.0000  0.0000 (multiplicity 2)  4 Mo 2.89, 4 In 2.98, 4 P 2.98
In  0.0000  0.5000  0.2500 (multiplicity 2)  4 P 2.89, 4 In 2.98, 4 Mo 2.98
Mo  0.0000  0.0000  0.5000 (multiplicity 2)  8 In 2.89-2.98, 4 P 2.98
P  0.0000  0.5000  0.7500 (multiplicity 2)  8 In 2.89-2.98, 4 Mo 2.98



A relaxed TaCo crystal, computed with GGA-PBEsol.

Values from the calculation:
DOS(E_F), states/eV/cell: 23.62
Calculated total energy, eV per atom: -10.330
Size of the total moment, μB per formula unit: 0.0

Cell: 8.9394 7.3546 5.0366 Å, 90.00 90.00 90.00°
Last column: nearest neighbours and their distance in Å.
Space group Pbcm (No. 57)
One atom of each set of equivalent atoms:
Ta  0.1170  0.2500  0.0000 (multiplicity 4)  2 Ta 2.52, 6 Co 2.53-2.68
Ta  0.1910  0.6342  0.2500 (multiplicity 4)  5 Co 2.42-2.65
Ta  0.3704  0.0291  0.2500 (multiplicity 4)  8 Co 2.46-2.73
Co  0.0613  0.5414  0.7500 (multiplicity 4)  7 Ta 2.53-2.81, 2 Co 2.81
Co  0.3594  0.1228  0.7500 (multiplicity 4)  7 Ta 2.42-2.68, 2 Co 2.46
Co  0.4290  0.7500  0.0000 (multiplicity 4)  4 Co 2.46-2.52, 6 Ta 2.46-2.73



A relaxed FeTc2Br crystal, computed with GGA-PBEsol.

Values from the calculation:
DOS(E_F), states/eV/cell: 2.89
Polymorph energy (0 for the lowest one), eV/atom: 0.0290
E_form (uncorrected), eV/atom: 0.478
Size of the total moment, μB per formula unit: 2.9

Cell: 2.9344 2.9344 6.7690 Å, 90.00 90.00 90.00°
Last column: nearest neighbours and their distance in Å.
Space group P4mm (No. 99)
One atom of each set of equivalent atoms:
Fe  0.0000  0.0000  0.0000 (multiplicity 1)  4 Br 2.63, 4 Tc 2.70, 4 Fe 2.93
Tc  0.0000  0.0000  0.4758 (multiplicity 1)  4 Tc 2.56, 4 Br 2.83
Tc  0.5000  0.5000  0.2545 (multiplicity 1)  4 Tc 2.56, 4 Fe 2.70
Br  0.5000  0.5000  0.7604 (multiplicity 1)  4 Fe 2.63, 4 Tc 2.83, 4 Br 2.93



A relaxed NaFeBO3 crystal, computed with GGA-PBEsol.

Values from the calculation:
DOS(E_F), states/eV/cell: 13.69
E_form (uncorrected), eV/atom: -1.713
Size of the total moment, μB per formula unit: 4.0

Cell: 5.0096 8.8899 5.5055 Å, 90.00 100.49 90.00°
Last column: nearest neighbours and their distance in Å.
Space group C2/c (No. 15)
One atom of each set of equivalent atoms:
Na  0.0000  0.1652  0.2500 (multiplicity 4)  8 O 2.51-2.58, 2 B 2.75
Fe  0.0000  0.5000  0.0000 (multiplicity 4)  6 O 2.06-2.18
B  0.0000  0.1670  0.7500 (multiplicity 4)  3 O 1.38
O  0.0000  0.3227  0.7500 (multiplicity 4)  1 B 1.38
O  0.2172  0.0902  0.6867 (multiplicity 8)  1 B 1.38



A relaxed Ta2MoCl crystal, computed with GGA-PBEsol.

Values from the calculation:
DOS(E_F), states/eV/cell: 3.81
E_form (uncorrected), eV/atom: 0.316
Size of the total moment, μB per formula unit: 0.0

Cell: 2.8470 2.8470 7.9122 Å, 90.00 90.00 90.00°
Last column: nearest neighbours and their distance in Å.
Space group P4/mmm (No. 123)
One atom of each set of equivalent atoms:
Ta  0.0000  0.0000  0.2329 (multiplicity 2)  4 Cl 2.73, 4 Ta 2.85, 4 Mo 2.92
Mo  0.5000  0.5000  0.5000 (multiplicity 1)  4 Mo 2.85, 8 Ta 2.92
Cl  0.5000  0.5000  0.0000 (multiplicity 1)  8 Ta 2.73, 4 Cl 2.85



A relaxed ZnCd3 crystal, computed with GGA-PBEsol.

Values from the calculation:
DOS(E_F), states/eV/cell: 1.40
Calculated total energy, eV per atom: -1.241
Size of the total moment, μB per formula unit: 0.0

Cell: 3.0233 3.0233 8.4195 Å, 90.00 90.00 90.00°
Last column: nearest neighbours and their distance in Å.
Space group P4/mmm (No. 123)
One atom of each set of equivalent atoms:
Zn  0.0000  0.0000  0.0000 (multiplicity 1)  8 Cd 2.89, 4 Zn 3.02
Cd  0.0000  0.0000  0.5000 (multiplicity 1)  12 Cd 3.02-3.12
Cd  0.5000  0.5000  0.2304 (multiplicity 2)  4 Zn 2.89, 8 Cd 3.02-3.12



A relaxed LaAlFe2 crystal, computed with GGA-PBEsol.

Values from the calculation:
DOS(E_F), states/eV/cell: 4.74
Calculated total energy, eV per atom: -6.951
Size of the total moment, μB per formula unit: 2.1

Cell: 3.9559 3.9559 16.2714 Å, 90.00 90.00 120.00°
Last column: nearest neighbours and their distance in Å.
Space group R3m (No. 160, hexagonal axes)
One atom of each set of equivalent atoms:
La  0.0000  0.0000  0.0000 (multiplicity 3)  7 Fe 3.07-3.37, 4 Al 3.13-3.24
Al  0.0000  0.0000  0.8079 (multiplicity 3)  6 Fe 2.44-2.52
Fe  0.0000  0.0000  0.2072 (multiplicity 3)  3 Fe 2.29, 3 Al 2.52
Fe  0.0000  0.0000  0.5274 (multiplicity 3)  3 Fe 2.29, 3 Al 2.44



The following ρ values (in Mg/m³) correspond, in order, to the records above: 12.4 7.8 4.6 8.0 4.0 8.2 14.4 9.5 3.8 12.8 8.7 6.3.